Crystalline CaMg6In2 at its relaxed geometry. Source: the Alexandria database, functional PBE.

Values from the calculation:
E_form: -10.7 kJ per mole of atoms
space group: No. 123
total moment: 0.0 μB per formula unit

```
9
Lattice="4.5707 0.0000 0.0000 0.0000 4.5707 0.0000 0.0000 0.0000 10.9243" Properties=species:S:1:pos:R:3 pbc="T T T"
Ca 0.0000 0.0000 0.0000
Mg 0.0000 0.0000 5.4621
Mg 0.0000 2.2853 3.2443
Mg 0.0000 2.2853 7.6799
Mg 2.2853 0.0000 3.2443
Mg 2.2853 0.0000 7.6799
Mg 2.2853 2.2853 5.4621
In 2.2853 2.2853 1.4097
In 2.2853 2.2853 9.5146
```

Crystalline Fe3Pb at its relaxed geometry. Source: the Alexandria database, functional PBE.

Values from the calculation:
E_form: 41.0 kJ per mole of atoms
space group: No. 225
total moment: 7.0 μB per formula unit

```
4
Lattice="0.0000 3.0718 3.0718 3.0718 0.0000 3.0718 3.0718 3.0718 0.0000" Properties=species:S:1:pos:R:3 pbc="T T T"
Fe 0.0000 0.0000 0.0000
Fe 1.5359 1.5359 1.5359
Fe 4.6077 4.6077 4.6077
Pb 3.0718 3.0718 3.0718
```

Crystalline ScAlTc2 at its relaxed geometry. Source: the Alexandria database, functional PBE.

Values from the calculation:
E_form: -22.4 kJ per mole of atoms
space group: No. 216
energy above the lowest structure with this stoichiometry: 75 meV/atom
total moment: 0.0 μB per formula unit

```
4
Lattice="0.0000 3.1597 3.1597 3.1597 0.0000 3.1597 3.1597 3.1597 0.0000" Properties=species:S:1:pos:R:3 pbc="T T T"
Sc 0.0000 0.0000 0.0000
Al 1.5798 1.5798 1.5798
Tc 3.1597 3.1597 3.1597
Tc 4.7395 4.7395 4.7395
```

Crystalline Bi2SbO2 at its relaxed geometry. Source: the Alexandria database, functional PBE.

Values from the calculation:
space group: No. 139
E_form (uncorrected): -35.4 kJ per mole of atoms
total moment: 0.0 μB per formula unit

```
5
Lattice="-2.5068 2.5068 4.4494 2.5068 -2.5068 4.4494 2.5068 2.5068 -4.4494" Properties=species:S:1:pos:R:3 pbc="T T T"
Bi 2.5068 0.0000 2.2247
Bi 0.0000 2.5068 2.2247
Sb 0.0000 0.0000 0.0000
O 0.0000 0.0000 2.4005
O 0.0000 0.0000 6.4983
```

> What is the formula in the fourth record?

Bi2SbO2

> total moment of number 2 (Fe3Pb)?

7.0 μB per formula unit